The following is a DFT calculation (PBE with a Hubbard U) of a relaxed structure of VCoF3.

Calculated values
For the magnetization, the calculation gives 4.92 μB per formula unit. The value obtained for the raw total energy is -26.52 eV for the cell shown. As for the polymorph energy (0 for the lowest one): 0 meV per atom.

```
data_VCoF3
_cell_length_a 4.122
_cell_length_b 4.122
_cell_length_c 4.122
_cell_angle_alpha 90.00
_cell_angle_beta 90.00
_cell_angle_gamma 90.00
_space_group_name_H-M_alt 'P m -3 m'
_space_group_IT_number 221
_space_group_name_Hall '-P 4 2 3'
loop_
_atom_site_label
_atom_site_type_symbol
_atom_site_fract_x
_atom_site_fract_y
_atom_site_fract_z
V1 V 0.000 0.000 0.000
Co1 Co 0.500 0.500 0.500
F1 F 0.000 0.000 0.500
```